Below is a PBEsol-optimized structure of DyGePd, with properties calculated at the meta-GGA SCAN level.

Output
Formation enthalpy at 0 K ... -1127.1 meV per atom

Cell lengths 4.357, 7.488, 13.785 Å; angles 90.00, 90.00, 90.00 degrees
Sites, in units of the cell vectors:
1 Dy 0.000 0.212 0.248
2 Dy 0.000 0.212 0.752
3 Dy 0.500 0.788 0.252
4 Dy 0.500 0.788 0.748
5 Dy 0.000 0.290 0.500
6 Dy 0.500 0.710 0.000
7 Dy 0.000 0.296 0.000
8 Dy 0.500 0.704 0.500
9 Ge 0.000 0.591 0.144
10 Ge 0.000 0.591 0.856
11 Ge 0.500 0.409 0.356
12 Ge 0.500 0.409 0.644
13 Ge 0.000 0.909 0.597
14 Ge 0.000 0.909 0.403
15 Ge 0.500 0.091 0.903
16 Ge 0.500 0.091 0.097
17 Pd 0.000 0.923 0.108
18 Pd 0.000 0.923 0.892
19 Pd 0.500 0.077 0.392
20 Pd 0.500 0.077 0.608
21 Pd 0.000 0.582 0.655
22 Pd 0.000 0.582 0.345
23 Pd 0.500 0.418 0.845
24 Pd 0.500 0.418 0.155

***

Below is a PBEsol-optimized structure of LiLa2Zn, with properties calculated at the meta-GGA SCAN level.

Output
Formation enthalpy at 0 K ... -151.5 meV per atom

Cell lengths 3.897, 5.145, 5.145 Å; angles 90.39, 90.00, 90.00 degrees
Sites, in units of the cell vectors:
1 Zn 0.500 0.500 0.500
2 La 0.000 0.500 0.000
3 La 0.000 0.000 0.500
4 Li 0.500 0.000 0.000

***

Below is a PBEsol-optimized structure of Li5Mg, with properties calculated at the meta-GGA SCAN level.

Output
ΔE to the lowest computed polymorph ... 46 meV/atom
Formation enthalpy at 0 K ... 21.1 meV per atom

Cell lengths 5.532, 5.532, 5.532 Å; angles 60.00, 60.00, 60.00 degrees
Sites, in units of the cell vectors:
1 Mg 0.000 0.000 0.000
2 Li 0.375 0.375 0.375
3 Li 0.750 0.750 0.750
4 Li 0.876 0.375 0.375
5 Li 0.375 0.876 0.375
6 Li 0.375 0.375 0.876

***

Below is a PBEsol-optimized structure of Al2Fe2W, with properties calculated at the meta-GGA SCAN level.

Output
Formation enthalpy at 0 K ... 170.7 meV per atom

Cell lengths 3.420, 3.420, 6.344 Å; angles 105.64, 105.64, 90.00 degrees
Each line ends with the local moment (μB).
Sites, in units of the cell vectors:
1 Fe 0.250 0.750 0.500  2.68
2 Fe 0.750 0.250 0.500  2.68
3 W 0.000 0.000 0.000  0.53
4 Al 0.603 0.603 0.206  -0.04
5 Al 0.397 0.397 0.794  -0.04

***

Below is a PBEsol-optimized structure of ZrScP2, with properties calculated at the meta-GGA SCAN level.

Output
ΔE to the lowest computed polymorph ... 1 meV/atom
Formation enthalpy at 0 K ... -1606.0 meV per atom

Cell lengths 3.705, 3.705, 5.224 Å; angles 90.00, 90.00, 90.00 degrees
Sites, in units of the cell vectors:
1 Sc 0.000 0.000 0.000
2 P 0.500 0.500 0.000
3 P 0.000 0.000 0.500
4 Zr 0.500 0.500 0.500

***

Below is a PBEsol-optimized structure of BaZrSb2, with properties calculated at the meta-GGA SCAN level.

Output
ΔE to the lowest computed polymorph ... 0 meV/atom
Energy relative to the elements, uncorrected ... -0.90 eV per atom

Cell lengths 4.296, 4.296, 8.205 Å; angles 74.82, 74.82, 60.00 degrees
Sites, in units of the cell vectors:
1 Sb 0.766 0.766 0.703
2 Sb 0.234 0.234 0.297
3 Ba 0.000 0.000 0.000
4 Zr 0.500 0.500 0.500

***

Below is a PBEsol-optimized structure of CuHgAu2, with properties calculated at the meta-GGA SCAN level.

Output
Formation enthalpy at 0 K ... 15.1 meV per atom

Cell lengths 3.084, 3.084, 6.939 Å; angles 90.00, 90.00, 90.00 degrees
Sites, in units of the cell vectors:
1 Au 0.000 0.000 0.786
2 Au 0.000 0.000 0.214
3 Hg 0.500 0.500 0.500
4 Cu 0.500 0.500 0.000

***

Below is a PBEsol-optimized structure of Rb6Pb5Cl16, with properties calculated at the meta-GGA SCAN level.

Output
Energy relative to the elements, uncorrected ... -1.68 eV per atom

Cell lengths 11.119, 11.689, 11.689 Å; angles 91.06, 90.63, 90.63 degrees
Sites, in units of the cell vectors:
1 Rb 0.000 0.500 0.000
2 Rb 0.000 0.381 0.619
3 Rb 0.997 0.124 0.124
4 Rb 0.735 0.677 0.677
5 Rb 0.485 0.865 0.865
6 Rb 0.500 0.637 0.363
7 Rb 0.500 0.363 0.637
8 Rb 0.515 0.135 0.135
9 Rb 0.265 0.323 0.323
10 Rb 0.000 0.000 0.500
11 Rb 0.003 0.876 0.876
12 Rb 0.000 0.619 0.381
13 Pb 0.734 0.323 0.323
14 Pb 0.743 0.810 0.162
15 Pb 0.743 0.162 0.810
16 Pb 0.655 0.490 0.998
17 Pb 0.655 0.998 0.490
18 Pb 0.345 0.002 0.510
19 Pb 0.345 0.510 0.002
20 Pb 0.257 0.190 0.838
21 Pb 0.257 0.838 0.190
22 Pb 0.266 0.677 0.677
23 Cl 0.000 0.160 0.840
24 Cl 0.020 0.661 0.661
25 Cl 0.783 0.417 0.799
26 Cl 0.781 0.294 0.067
27 Cl 0.794 0.697 0.947
28 Cl 0.785 0.567 0.202
29 Cl 0.785 0.202 0.567
30 Cl 0.794 0.947 0.697
31 Cl 0.781 0.067 0.294
32 Cl 0.783 0.799 0.417
33 Cl 0.711 0.489 0.489
34 Cl 0.721 0.993 0.993
35 Cl 0.493 0.296 0.909
36 Cl 0.507 0.410 0.195
37 Cl 0.493 0.590 0.805
38 Cl 0.507 0.704 0.091
39 Cl 0.507 0.195 0.410
40 Cl 0.493 0.909 0.296
41 Cl 0.507 0.091 0.704
42 Cl 0.493 0.805 0.590
43 Cl 0.279 0.007 0.007
44 Cl 0.289 0.511 0.511
45 Cl 0.217 0.201 0.583
46 Cl 0.219 0.933 0.706
47 Cl 0.215 0.433 0.798
48 Cl 0.206 0.303 0.053
49 Cl 0.206 0.053 0.303
50 Cl 0.215 0.798 0.433
51 Cl 0.219 0.706 0.933
52 Cl 0.217 0.583 0.201
53 Cl 0.980 0.339 0.339
54 Cl 0.000 0.840 0.160

***

Below is a PBEsol-optimized structure of TlIr2Au, with properties calculated at the meta-GGA SCAN level.

Output
ΔE to the lowest computed polymorph ... 113 meV/atom
Formation enthalpy at 0 K ... 504.8 meV per atom

Cell lengths 2.877, 2.877, 9.609 Å; angles 81.39, 81.39, 60.00 degrees
Sites, in units of the cell vectors:
1 Au 0.257 0.257 0.230
2 Ir 0.004 0.004 0.987
3 Ir 0.742 0.742 0.773
4 Tl 0.496 0.496 0.511

***

Below is a PBEsol-optimized structure of Mg3ZnRh, with properties calculated at the meta-GGA SCAN level.

Output
ΔE to the lowest computed polymorph ... 466 meV/atom
Formation enthalpy at 0 K ... 534.6 meV per atom

Cell lengths 4.709, 4.709, 4.709 Å; angles 90.00, 90.00, 90.00 degrees
Sites, in units of the cell vectors:
1 Zn 0.000 0.000 0.000
2 Rh 0.500 0.500 0.500
3 Mg 0.000 0.500 0.000
4 Mg 0.000 0.000 0.500
5 Mg 0.500 0.000 0.000

***

Below is a PBEsol-optimized structure of NaHoCl4, with properties calculated at the meta-GGA SCAN level.

Output
Energy relative to the elements, uncorrected ... -2.36 eV per atom

Cell lengths 6.498, 6.631, 6.930 Å; angles 88.92, 88.02, 78.52 degrees
Sites, in units of the cell vectors:
1 Na 0.229 0.195 0.540
2 Na 0.771 0.805 0.460
3 Ho 0.791 0.300 0.055
4 Ho 0.209 0.700 0.945
5 Cl 0.611 0.214 0.369
6 Cl 0.389 0.786 0.631
7 Cl 0.097 0.999 0.206
8 Cl 0.903 0.001 0.794
9 Cl 0.050 0.499 0.242
10 Cl 0.950 0.501 0.758
11 Cl 0.567 0.688 0.116
12 Cl 0.433 0.312 0.884

***

Below is a PBEsol-optimized structure of YP5O14, with properties calculated at the meta-GGA SCAN level.

Output
Energy relative to the elements, uncorrected ... -2.62 eV per atom

Cell lengths 8.729, 8.982, 12.724 Å; angles 90.00, 90.00, 90.00 degrees
Sites, in units of the cell vectors:
1 O 0.270 0.057 0.250
2 O 0.230 0.557 0.750
3 O 0.730 0.943 0.750
4 O 0.770 0.443 0.250
5 O 0.525 0.063 0.347
6 O 0.975 0.563 0.653
7 O 0.475 0.937 0.847
8 O 0.025 0.437 0.153
9 O 0.475 0.937 0.653
10 O 0.025 0.437 0.347
11 O 0.525 0.063 0.153
12 O 0.975 0.563 0.847
13 O 0.960 0.670 0.250
14 O 0.540 0.170 0.750
15 O 0.040 0.330 0.750
16 O 0.460 0.830 0.250
17 O 0.828 0.898 0.372
18 O 0.672 0.398 0.628
19 O 0.172 0.102 0.872
20 O 0.328 0.602 0.128
21 O 0.172 0.102 0.628
22 O 0.328 0.602 0.372
23 O 0.828 0.898 0.128
24 O 0.672 0.398 0.872
25 O 0.612 0.180 0.507
26 O 0.888 0.680 0.493
27 O 0.388 0.820 0.007
28 O 0.112 0.320 0.993
29 O 0.388 0.820 0.493
30 O 0.112 0.320 0.507
31 O 0.612 0.180 0.993
32 O 0.888 0.680 0.007
33 O 0.157 0.839 0.381
34 O 0.343 0.339 0.619
35 O 0.843 0.161 0.881
36 O 0.657 0.661 0.119
37 O 0.843 0.161 0.619
38 O 0.657 0.661 0.381
39 O 0.157 0.839 0.119
40 O 0.343 0.339 0.881
41 O 0.333 0.156 0.470
42 O 0.167 0.656 0.530
43 O 0.667 0.844 0.970
44 O 0.833 0.344 0.030
45 O 0.667 0.844 0.530
46 O 0.833 0.344 0.470
47 O 0.333 0.156 0.030
48 O 0.167 0.656 0.970
49 O 0.993 0.153 0.363
50 O 0.507 0.653 0.637
51 O 0.007 0.847 0.863
52 O 0.493 0.347 0.137
53 O 0.007 0.847 0.637
54 O 0.493 0.347 0.363
55 O 0.993 0.153 0.137
56 O 0.507 0.653 0.863
57 P 0.490 0.202 0.418
58 P 0.010 0.702 0.582
59 P 0.510 0.798 0.918
60 P 0.990 0.298 0.082
61 P 0.510 0.798 0.582
62 P 0.990 0.298 0.418
63 P 0.490 0.202 0.082
64 P 0.010 0.702 0.918
65 P 0.427 0.992 0.250
66 P 0.073 0.492 0.750
67 P 0.573 0.008 0.750
68 P 0.927 0.508 0.250
69 P 0.758 0.773 0.431
70 P 0.742 0.273 0.569
71 P 0.242 0.227 0.931
72 P 0.258 0.727 0.069
73 P 0.242 0.227 0.569
74 P 0.258 0.727 0.431
75 P 0.758 0.773 0.069
76 P 0.742 0.273 0.931
77 Y 0.020 0.943 0.250
78 Y 0.480 0.443 0.750
79 Y 0.980 0.057 0.750
80 Y 0.520 0.557 0.250

***

Below is a PBEsol-optimized structure of ScHg2Cl, with properties calculated at the meta-GGA SCAN level.

Output
ΔE to the lowest computed polymorph ... 0 meV/atom
Energy relative to the elements, uncorrected ... -0.70 eV per atom

Cell lengths 3.112, 4.236, 7.261 Å; angles 107.03, 102.37, 90.00 degrees
Sites, in units of the cell vectors:
1 Sc 0.000 0.500 0.000
2 Hg 0.694 0.694 0.387
3 Hg 0.306 0.306 0.613
4 Cl 0.500 0.000 0.000

***

Below is a PBEsol-optimized structure of ZrZnHg, with properties calculated at the meta-GGA SCAN level.

Output
ΔE to the lowest computed polymorph ... 495 meV/atom
Formation enthalpy at 0 K ... 154.1 meV per atom

Cell lengths 4.555, 4.555, 4.555 Å; angles 60.00, 60.00, 60.00 degrees
Sites, in units of the cell vectors:
1 Hg 0.000 0.000 0.000
2 Zn 0.500 0.500 0.500
3 Zr 0.250 0.250 0.250

***

Below is a PBEsol-optimized structure of HgC3S, with properties calculated at the meta-GGA SCAN level.

Output
Energy relative to the elements, uncorrected ... 3.69 eV per atom

Cell lengths 4.246, 4.246, 4.246 Å; angles 90.00, 90.00, 90.00 degrees
Each line ends with the local moment (μB).
Sites, in units of the cell vectors:
1 C 0.000 0.500 0.000  0.63
2 C 0.000 0.000 0.500  0.63
3 C 0.500 0.000 0.000  0.63
4 S 0.500 0.500 0.500  -0.55
5 Hg 0.000 0.000 0.000  0.08

***

Below is a PBEsol-optimized structure of Ba2C, with properties calculated at the meta-GGA SCAN level.

Output
ΔE to the lowest computed polymorph ... 32 meV/atom
Formation enthalpy at 0 K ... 660.9 meV per atom

Cell lengths 4.314, 6.840, 6.840 Å; angles 90.00, 90.00, 90.00 degrees
Each line ends with the local moment (μB).
Sites, in units of the cell vectors:
1 C 0.000 0.000 0.000  0.33
2 C 0.500 0.500 0.500  0.33
3 Ba 0.000 0.308 0.692  -0.03
4 Ba 0.000 0.692 0.308  -0.03
5 Ba 0.500 0.808 0.808  -0.03
6 Ba 0.500 0.192 0.192  -0.03

***

Below is a PBEsol-optimized structure of TiRuS2N, with properties calculated at the meta-GGA SCAN level.

Output
ΔE to the lowest computed polymorph ... 0 meV/atom
Energy relative to the elements, uncorrected ... 0.01 eV per atom

Cell lengths 3.584, 4.711, 4.711 Å; angles 90.00, 90.00, 90.00 degrees
Each line ends with the local moment (μB).
Sites, in units of the cell vectors:
1 Ru 0.000 0.000 0.000  -0.01
2 S 0.000 0.000 0.500  -0.05
3 S 0.000 0.500 0.000  -0.05
4 N 0.500 0.000 0.000  -0.01
5 Ti 0.500 0.500 0.500  1.47

***

Below is a PBEsol-optimized structure of PbW2O, with properties calculated at the meta-GGA SCAN level.

Output
Energy relative to the elements, uncorrected ... 1.29 eV per atom

Cell lengths 4.442, 4.442, 4.442 Å; angles 60.00, 60.00, 60.00 degrees
Sites, in units of the cell vectors:
1 Pb 0.500 0.500 0.500
2 O 0.000 0.000 0.000
3 W 0.250 0.250 0.250
4 W 0.750 0.750 0.750

***

Below is a PBEsol-optimized structure of Sr2AgAs, with properties calculated at the meta-GGA SCAN level.

Output
Formation enthalpy at 0 K ... -389.3 meV per atom

Cell lengths 6.542, 6.542, 9.147 Å; angles 110.95, 110.95, 90.00 degrees
Sites, in units of the cell vectors:
1 Sr 0.405 0.875 0.250
2 Sr 0.845 0.375 0.250
3 Sr 0.125 0.155 0.750
4 Sr 0.625 0.595 0.750
5 As 0.750 0.250 0.500
6 As 0.500 0.500 0.000
7 Ag 0.250 0.750 0.500
8 Ag 0.000 0.000 0.000

***

Below is a PBEsol-optimized structure of Al3WF, with properties calculated at the meta-GGA SCAN level.

Output
Energy relative to the elements, uncorrected ... -0.11 eV per atom

Cell lengths 4.119, 4.119, 4.119 Å; angles 90.00, 90.00, 90.00 degrees
Sites, in units of the cell vectors:
1 Al 0.000 0.500 0.000
2 Al 0.000 0.000 0.500
3 Al 0.500 0.000 0.000
4 W 0.500 0.500 0.500
5 F 0.000 0.000 0.000